10
Lattice="4.299 0.000 0.000 0.000 4.299 0.000 0.000 0.000 10.190" Properties=species:S:1:pos:R:3 comment="PBE-GGA La2GeAs3Rh4, optimized geometry" total_magnetization_mub_per_cell=0.000 formation_enthalpy_0k_ev_per_atom=-0.964 pbc="T T T"
As 0.000 2.150 1.374
La 0.000 2.150 7.599
La 2.150 0.000 2.591
Rh 2.150 0.000 6.359
Rh 0.000 0.000 0.000
Ge 2.150 2.150 5.095
As 0.000 0.000 5.095
As 2.150 0.000 8.816
Rh 0.000 2.150 3.831
Rh 2.150 2.150 0.000